1.
Density functional theory data (GGA-PBE) for crystalline CdTcIr at its relaxed geometry.

Cell lengths 6.3978, 6.3978, 2.8435 Å; angles 77.16, 77.16, 25.68 degrees
Site moments in Bohr magnetons follow the coordinates.
Fractional positions:
Ir 0.3184 0.3184 0.6816  0.03
Tc 0.6824 0.6823 0.3176  0.22
Cd 0.9993 0.9993 0.0007  0.00

## Properties
- space-group type = No. 107
- total magnetic moment (μB per formula unit) = 0.3
- N(E_F) (states/eV/atom) = 0.872
- polymorph energy (0 for the lowest one) (meV per atom) = 0


2.
Density functional theory data (GGA-PBE) for crystalline Cd2TcIr at its relaxed geometry.

Cell lengths 5.9537, 5.9537, 5.9537 Å; angles 152.34, 131.71, 56.56 degrees
Site moments in Bohr magnetons follow the coordinates.
Fractional positions:
Tc 0.2770 0.7770 0.5000  0.48
Cd 0.7265 0.2265 0.5000  0.00
Cd 0.0207 0.0207 0.0000  0.00
Ir 0.4758 0.4758 0.0000  0.08

## Properties
- space-group type = No. 44
- total magnetic moment (μB per formula unit) = 0.6
- N(E_F) (states/eV/atom) = 0.747
- polymorph energy (0 for the lowest one) (meV per atom) = 308


3.
Density functional theory data (GGA-PBE) for crystalline CdTcIr at its relaxed geometry.

Cell lengths 2.8102, 2.8102, 7.1012 Å; angles 90.00, 90.00, 120.00 degrees
Fractional positions:
Cd 0.0000 0.0000 0.9995
Ir 0.6667 0.3333 0.3544
Tc 0.3333 0.6667 0.6461

## Properties
- space-group type = No. 156
- total magnetic moment (μB per formula unit) = 0.0
- N(E_F) (states/eV/atom) = 1.039
- polymorph energy (0 for the lowest one) (meV per atom) = 78


4.
Density functional theory data (GGA-PBE) for crystalline Cd2TcIr at its relaxed geometry.

Cell lengths 7.6307, 7.6307, 6.0013 Å; angles 50.52, 50.52, 90.00 degrees
Site moments in Bohr magnetons follow the coordinates.
Fractional positions:
Ir 0.0000 0.0000 0.0000  0.01
Cd 0.6340 0.1250 0.2500  -0.01
Tc 0.5000 0.5000 0.0000  1.24
Ir 0.7500 0.2500 0.5000  0.02
Tc 0.2500 0.7500 0.5000  1.24
Cd 0.1160 0.6250 0.2500  -0.01
Cd 0.8750 0.8840 0.7500  -0.01
Cd 0.3750 0.3660 0.7500  -0.01

## Properties
- space-group type = No. 122
- total magnetic moment (μB per formula unit) = 1.3
- N(E_F) (states/eV/atom) = 0.842
- polymorph energy (0 for the lowest one) (meV per atom) = 836


5.
Density functional theory data (GGA-PBE) for crystalline Cd2TcIr at its relaxed geometry.

Cell lengths 5.1413, 5.1413, 5.1413 Å; angles 133.66, 133.66, 67.63 degrees
Site moments in Bohr magnetons follow the coordinates.
Fractional positions:
Ir 0.2500 0.7500 0.5000  0.56
Cd 0.5000 0.5000 0.0000  0.00
Cd 0.0000 0.0000 0.0000  0.00
Tc 0.7500 0.2500 0.5000  1.99

## Properties
- space-group type = No. 139
- total magnetic moment (μB per formula unit) = 2.7
- N(E_F) (states/eV/atom) = 0.951
- polymorph energy (0 for the lowest one) (meV per atom) = 445


6.
Density functional theory data (GGA-PBE) for crystalline Cd2TeIr at its relaxed geometry.

Cell lengths 5.4589, 5.4589, 5.4589 Å; angles 134.72, 134.72, 65.97 degrees
Fractional positions:
Cd 0.5000 0.5000 0.0000
Te 0.7500 0.2500 0.5000
Ir 0.2500 0.7500 0.5000
Cd 0.0000 0.0000 0.0000

## Properties
- space-group type = No. 139
- formation energy without anion corrections (kJ/mol of formula units) = 108
- total magnetic moment (μB per formula unit) = 0.0
- N(E_F) (states/eV/atom) = 0.534


7.
Density functional theory data (GGA-PBE) for crystalline CdTeIr2 at its relaxed geometry.

Cell lengths 4.6622, 4.6622, 4.6622 Å; angles 60.00, 60.00, 60.00 degrees
Site moments in Bohr magnetons follow the coordinates.
Fractional positions:
Ir 0.7500 0.7500 0.7500  0.17
Te 0.5000 0.5000 0.5000  0.01
Cd 0.0000 0.0000 0.0000  0.00
Ir 0.2500 0.2500 0.2500  0.17

## Properties
- space-group type = No. 225
- formation energy without anion corrections (kJ/mol of formula units) = 167
- total magnetic moment (μB per formula unit) = 0.3
- N(E_F) (states/eV/atom) = 1.597
- polymorph energy (0 for the lowest one) (meV per atom) = 124


8.
Density functional theory data (GGA-PBE) for crystalline Cd2TeIr at its relaxed geometry.

Cell lengths 4.8789, 4.8789, 4.8789 Å; angles 60.00, 60.00, 60.00 degrees
Fractional positions:
Cd 0.2500 0.2500 0.2500
Cd 0.0000 0.0000 0.0000
Te 0.7500 0.7500 0.7500
Ir 0.5000 0.5000 0.5000

## Properties
- space-group type = No. 216
- formation energy without anion corrections (kJ/mol of formula units) = 145
- total magnetic moment (μB per formula unit) = 0.0
- N(E_F) (states/eV/atom) = 0.642


Number 1: theoretical density 13615 kg/m3. Number 2: theoretical density 11767 kg/m3. Number 3: theoretical density 13766 kg/m3. Number 4: theoretical density 11182 kg/m3. Number 5: theoretical density 12229 kg/m3. Number 6: theoretical density 11181 kg/m3. Number 7: theoretical density 14471 kg/m3. Number 8: theoretical density 11013 kg/m3.